Record 1
Here is a geometry-optimized HoCdAg structure from the Alexandria database. Energies are from PBE.

Volume   141 Å³/cell
Formation energy   -0.114 eV/atom
SG   P4/nmm (129)
N(E_F)   4.81 states/eV/cell

Cell lengths 3.468, 3.468, 11.739 Å; angles 90.00, 90.00, 90.00 degrees
Fractional positions:
Ho  0.250  0.250  0.111
Ho  0.750  0.750  0.889
Cd  0.250  0.250  0.416
Cd  0.750  0.750  0.584
Ag  0.250  0.250  0.725
Ag  0.750  0.750  0.275

=====

Record 2
Here is a geometry-optimized V3CrS structure from the Alexandria database. Energies are from PBE.

Volume   79 Å³/cell
Energy relative to the elements, uncorrected   0.22 eV/atom
SG   Pm-3m (221)
N(E_F)   2.52 states/eV/cell

Cell lengths 4.287, 4.287, 4.287 Å; angles 90.00, 90.00, 90.00 degrees
Fractional positions:
V  0.000  0.000  0.500
V  0.000  0.500  0.000
V  0.500  0.000  0.000
Cr  0.500  0.500  0.500
S  0.000  0.000  0.000

=====

Number 1: E_tot -2.895 eV per atom. Number 2: E_tot -8.006 eV per atom.